# Tb3TlNi2 (PBE, optimized geometry)
data_Tb3TlNi2
_cell_length_a 4.290
_cell_length_b 9.195
_cell_length_c 7.097
_cell_angle_alpha 90.00
_cell_angle_beta 90.00
_cell_angle_gamma 90.00
_space_group_name_H-M_alt 'P m c 21'
_space_group_IT_number 26
loop_
_space_group_symop_operation_xyz
'x,y,z'
'-x,-y,z+1/2'
'-x,y,z'
'x,-y,z+1/2'
loop_
_atom_site_label
_atom_site_fract_x
_atom_site_fract_y
_atom_site_fract_z
Tb1 0.000 0.058 0.000
Tb2 0.500 0.245 0.385
Tb3 0.500 0.338 0.855
Tl1 0.000 0.473 0.131
Ni1 0.000 0.214 0.649
Ni2 0.500 0.052 0.717
# **Calculated total energy**: -59.95 eV per cell
# **Formation energy from the elements**: -2.15 eV per formula unit
# **Density of states at the Fermi level**: 10.15 states/eV/cell